MoRh3O: relaxed, PBE with a Hubbard U.

Unit cell a=4.166 b=4.166 c=4.166 alpha=90.00 beta=90.00 gamma=90.00
Fractional coordinates of all 5 atoms:
1 Mo 0.000 0.000 0.000
2 Rh 0.000 0.500 0.500
3 Rh 0.500 0.000 0.500
4 Rh 0.500 0.500 0.000
5 O 0.500 0.500 0.500

Spin magnetization = 2.18 μB per cell
ΔE to the lowest computed polymorph = 0 meV/atom